A plane-wave DFT calculation with GGA-PBE was carried out for a geometry-optimized LiYI2Br structure.

The structure in POSCAR format:
```
LiYI2Br
1.0
5.178 0.000 0.000
0.000 5.827 0.000
0.000 0.000 5.178
I Y Br Li
2 1 1 1
direct
0.000 0.000 0.500 I
0.500 0.000 0.000 I
0.000 0.500 0.000 Y
0.500 0.500 0.500 Br
0.000 0.000 0.000 Li
```

- Total energy: -3.079 eV per atom
- Total magnetic moment: 0.82 μB per formula unit